Record 1
The following is a GGA-PBE calculation of RbNbTeBr after structural relaxation, from Alexandria via LeMat-Bulk.

Properties
ΔE to the lowest computed polymorph, meV per atom: 82
Formation energy (no corrections), eV/atom: -0.4285
Magnetization, μB/atom: 0.261
Space group: No. 8

POSCAR file:
```
RbNbTeBr
1.0
4.160 -1.860 0.000
4.160 1.860 0.000
-1.808 0.000 8.209
Rb Nb Te Br
1 1 1 1
Cartesian
0.000 0.000 0.000
1.561 0.000 4.420
4.053 0.000 5.684
5.854 0.000 2.378
```

Record 2
The following is a GGA-PBE calculation of Pr4Ho15Er after structural relaxation, from Alexandria via LeMat-Bulk.

Properties
ΔH_f (0 K), meV/atom: 23
Magnetization, μB/atom: 0.000
Space group: No. 123

POSCAR file:
```
Pr4Ho15Er
1.0
5.044 0.000 0.000
0.000 5.044 0.000
0.000 0.000 25.096
Pr Ho Er
4 15 1
Cartesian
0.000 0.000 2.524
0.000 0.000 7.552
0.000 0.000 17.544
0.000 0.000 22.572
0.000 2.522 0.000
0.000 2.522 5.044
0.000 2.522 10.092
0.000 2.522 15.005
0.000 2.522 20.052
2.522 0.000 0.000
2.522 0.000 5.044
2.522 0.000 10.092
2.522 0.000 15.005
2.522 0.000 20.052
2.522 2.522 2.519
2.522 2.522 7.571
2.522 2.522 12.548
2.522 2.522 17.525
2.522 2.522 22.577
0.000 0.000 12.548
```

- Which value of magnetization does entry 1 give?
  0.261 μB/atom